Computed, not measured: TcAgI5 after structural relaxation at the PBE level of DFT.

Calculated volume: 57.07 Å³/atom

Cell lengths 8.1716, 8.3079, 8.3078 Å; angles 91.63, 60.54, 60.54 degrees
Last column: nearest neighbours and their distance in Å.
Sites, in units of the cell vectors:
1 Tc 0.0000 0.0404 0.9596  4 I 2.52-2.56
2 Ag 0.5000 0.5691 0.4309  3 I 2.64-2.82
3 I 0.7534 0.1561 0.3372  1 Tc 2.56, 1 Ag 2.82
4 I 0.5000 0.7906 0.2094  1 Ag 2.64
5 I 0.2466 0.6628 0.8439  1 Tc 2.56, 1 Ag 2.82
6 I 0.7409 0.1558 0.8442  1 Tc 2.52
7 I 0.2591 0.1558 0.8442  1 Tc 2.52



Computed, not measured: Cs2Pa3O8F after structural relaxation at the PBE level of DFT.

Calculated volume: 24.56 Å³/atom

Cell lengths 7.0693, 7.0693, 8.9331 Å; angles 66.69, 66.69, 60.00 degrees
Last column: nearest neighbours and their distance in Å.
Sites, in units of the cell vectors:
1 Cs 0.1289 0.1289 0.6133  3 O 3.07
2 Cs 0.5092 0.5092 0.4724  6 O 3.29-3.56
3 Pa 0.5037 0.0009 0.9918  6 O 2.14-2.31
4 Pa 0.0009 0.5037 0.9918  6 O 2.14-2.31
5 Pa 0.5037 0.5037 0.9918  6 O 2.14-2.31
6 O 0.2914 0.2914 0.1259  3 Pa 2.31
7 O 0.7109 0.7109 0.8674  3 Pa 2.26
8 O 0.2368 0.2368 0.8627  2 Pa 2.17
9 O 0.6637 0.2368 0.8627  2 Pa 2.17
10 O 0.2368 0.6637 0.8627  2 Pa 2.17
11 O 0.7667 0.3476 0.1190  2 Pa 2.14
12 O 0.3476 0.7667 0.1190  2 Pa 2.14
13 O 0.7667 0.7667 0.1190  2 Pa 2.14
14 F 0.8258 0.8258 0.5226  1 O 2.74



Number 1: DFT total energy -2.903 eV per atom. Number 2: DFT total energy -8.171 eV per atom.